{"formula": "SiRu2Pb", "functional": "GGA-PBE", "state": "optimized geometry", "relative_energy_mev_per_atom": 1, "e_form_raw_ev_per_atom": -0.01, "final_energy_ev_per_cell": -27.74, "sg": "Imm2", "lattice_angstrom": [[-3.2883, 4.3667, -4.7081], [-5.0565, 0.2901, -5.1375], [2.5936, -1.9297, 6.4495]], "species": ["Pb", "Si", "Ru", "Ru"], "fractional_positions": [[0.3023, 0.8023, 0.5000], [0.5473, 0.5473, 0.0000], [0.6730, 0.1730, 0.5000], [0.9774, 0.9774, 0.0000]]}